# Hf2ZnOs (PBE, optimized geometry)
# DOS at the Fermi energy: 0.235 states/eV/atom
# Energy: -0.2899 hartree per atom
data_Hf2ZnOs
_chemical_formula_sum 'Hf4 Zn2 Os2'
_space_group_name_H-M_alt 'P 1'
_space_group_IT_number 1
_space_group_name_Hall 'P 1'
_cell_length_a 5.995
_cell_length_b 5.995
_cell_length_c 5.995
_cell_angle_alpha 102.57
_cell_angle_beta 102.57
_cell_angle_gamma 124.38
loop_
_atom_site_label
_atom_site_fract_x
_atom_site_fract_y
_atom_site_fract_z
Hf1 0.092 0.625 0.967
Hf2 0.375 0.342 0.467
Hf3 0.658 0.125 0.033
Hf4 0.875 0.908 0.533
Zn1 0.250 0.750 0.500
Zn2 0.500 0.500 0.000
Os1 0.000 0.000 0.000
Os2 0.750 0.250 0.500

# KCrTc (PBE, optimized geometry)
# DOS at the Fermi energy: 1.026 states/eV/atom
# Energy: -0.2223 hartree per atom
# Excess energy over the best structure of this formula in the dataset: 0.35 eV per formula unit
data_KCrTc
_chemical_formula_sum 'K1 Cr1 Tc1'
_space_group_name_H-M_alt 'P 1'
_space_group_IT_number 1
_space_group_name_Hall 'P 1'
_cell_length_a 3.104
_cell_length_b 3.104
_cell_length_c 7.738
_cell_angle_alpha 90.00
_cell_angle_beta 90.00
_cell_angle_gamma 120.00
loop_
_atom_site_label
_atom_site_fract_x
_atom_site_fract_y
_atom_site_fract_z
K1 0.000 0.000 0.000
Cr1 0.333 0.667 0.591
Tc1 0.667 0.333 0.405